Computed, not measured: a geometry-optimized Rb3CoHg2F9 structure at the PBE with a Hubbard U level of DFT.

Calculated values
Its size of the total moment is 3.2 μB per cell. The calculation puts the uncorrected energy at -3.777 eV/atom. The calculation puts the calculated density at 5.51 Mg/m³.

```
data_Rb3CoHg2F9
_chemical_formula_sum 'Rb3 Co1 Hg2 F9'
_cell_length_a 6.3137
_cell_length_b 6.3137
_cell_length_c 7.7533
_cell_angle_alpha 90.00
_cell_angle_beta 90.00
_cell_angle_gamma 120.00
_space_group_name_H-M_alt 'P -3 m 1'
_space_group_IT_number 164
_space_group_name_Hall '-P 3 2"'
loop_
_atom_site_label
_atom_site_fract_x
_atom_site_fract_y
_atom_site_fract_z
Rb1 0.0000 0.0000 0.0000
Rb2 0.3333 0.6667 0.6723
Co1 0.0000 0.0000 0.5000
Hg1 0.3333 0.6667 0.1845
F1 0.0000 0.5000 0.0000
F2 0.1532 0.3064 0.3513
```